Compound: Nd2ErSc7
Source: Alexandria
Functional: GGA-PBE
Structure: optimized geometry

## Properties
* calculated volume: 27.8 Å³ per atom
* total energy: -5.685 eV per atom
* DFT formation energy: 0.157 eV/atom
* space-group type: Cmmm (65)
* N(E_F): 1.666 states/eV per atom

abc: 14.042 14.042 3.315
angles: 90.00 90.00 154.87
Positions (direct):
Nd (0.209, 0.791, 0.000)
Nd (0.791, 0.209, 0.000)
Er (0.500, 0.500, 0.500)
Sc (0.000, 0.000, 0.000)
Sc (0.158, 0.352, 0.000)
Sc (0.320, 0.680, 0.500)
Sc (0.352, 0.158, 0.000)
Sc (0.648, 0.842, 0.000)
Sc (0.680, 0.320, 0.500)
Sc (0.842, 0.648, 0.000)